Entry 1:
Entry from Alexandria via LeMat-Bulk: Ho2AlGa4Ni3 after structural relaxation (PBE).

Output
Formation energy from the elements in meV/atom: -576

a = 4.007 Å, b = 4.007 Å, c = 10.483 Å
α = 90.00°, β = 90.00°, γ = 90.00°
Space group P-4m2 (No. 115)
Inequivalent atoms, fractional coordinates:
Ho 0.000 0.500 0.239 [2 per cell]
Al 0.000 0.000 0.500 [1 per cell]
Ga 0.000 0.000 0.000 [1 per cell]
Ga 0.000 0.500 0.647 [2 per cell]
Ga 0.500 0.500 0.000 [1 per cell]
Ni 0.000 0.500 0.870 [2 per cell]
Ni 0.500 0.500 0.500 [1 per cell]



Entry 2:
Entry from Alexandria via LeMat-Bulk: HoAlGaNi3 after structural relaxation (PBE).

Output
Formation energy from the elements in meV/atom: -331

a = 6.036 Å, b = 11.827 Å, c = 5.325 Å
α = 90.00°, β = 90.00°, γ = 90.00°
Space group Cmcm (No. 63)
Inequivalent atoms, fractional coordinates:
Ho 0.000 0.203 0.250 [4 per cell]
Al 0.000 0.449 0.250 [4 per cell]
Ga 0.000 0.142 0.750 [4 per cell]
Ni 0.000 0.348 0.750 [4 per cell]
Ni 0.197 0.000 0.000 [8 per cell]



Entry 3:
Entry from Alexandria via LeMat-Bulk: HoAlGa2Ni4 after structural relaxation (PBE).

Output
Formation energy from the elements in meV/atom: -508

a = 4.0733 Å, b = 4.0733 Å, c = 24.1209 Å
α = 90.00°, β = 90.00°, γ = 120.00°
Space group R-3m (No. 166, hexagonal axes)
Inequivalent atoms, fractional coordinates:
Ho 0.0000 0.0000 0.0000 [3 per cell]
Al 0.0000 0.0000 0.5000 [3 per cell]
Ga 0.0000 0.0000 0.2427 [6 per cell]
Ni 0.0000 0.0000 0.1330 [6 per cell]
Ni 0.0000 0.0000 0.4031 [6 per cell]



Entry 4:
Entry from Alexandria via LeMat-Bulk: Ho2Al2GaPd5 after structural relaxation (PBE).

Output
Formation energy from the elements in meV/atom: -766

a = 10.271 Å, b = 10.271 Å, c = 3.355 Å
α = 90.00°, β = 90.00°, γ = 90.00°
Space group P4/mbm (No. 127)
Inequivalent atoms, fractional coordinates:
Ho 0.175 0.325 0.000 [4 per cell]
Al 0.126 0.626 0.000 [4 per cell]
Ga 0.000 0.000 0.000 [2 per cell]
Pd 0.000 0.500 0.500 [2 per cell]
Pd 0.050 0.799 0.500 [8 per cell]



Entry 5:
Entry from Alexandria via LeMat-Bulk: HoAl2GaPd2 after structural relaxation (PBE).

Output
Formation energy from the elements in meV/atom: -185

a = 4.618 Å, b = 4.618 Å, c = 5.581 Å
α = 90.00°, β = 90.00°, γ = 90.00°
Space group P4/mmm (No. 123)
Inequivalent atoms, fractional coordinates:
Ho 0.000 0.000 0.000 [1 per cell]
Al 0.000 0.500 0.500 [2 per cell]
Ga 0.000 0.000 0.500 [1 per cell]
Pd 0.500 0.500 0.246 [2 per cell]



Entry 6:
Entry from Alexandria via LeMat-Bulk: HoAlGaPd after structural relaxation (PBE).

Output
Formation energy from the elements in meV/atom: -639

a = 6.649 Å, b = 6.649 Å, c = 6.649 Å
α = 90.00°, β = 90.00°, γ = 90.00°
Space group F-43m (No. 216)
Inequivalent atoms, fractional coordinates:
Ho 0.000 0.000 0.000 [4 per cell]
Al 0.000 0.000 0.500 [4 per cell]
Ga 0.250 0.250 0.750 [4 per cell]
Pd 0.250 0.250 0.250 [4 per cell]



Entry 7:
Entry from Alexandria via LeMat-Bulk: HoAlGa2Pd4 after structural relaxation (PBE).

Output
Formation energy from the elements in meV/atom: -783

a = 4.3716 Å, b = 4.3716 Å, c = 24.3840 Å
α = 90.00°, β = 90.00°, γ = 120.00°
Space group R-3m (No. 166, hexagonal axes)
Inequivalent atoms, fractional coordinates:
Ho 0.0000 0.0000 0.0000 [3 per cell]
Al 0.0000 0.0000 0.5000 [3 per cell]
Ga 0.0000 0.0000 0.2480 [6 per cell]
Pd 0.0000 0.0000 0.1329 [6 per cell]
Pd 0.0000 0.0000 0.3989 [6 per cell]



Entry 8:
Entry from Alexandria via LeMat-Bulk: Ho2AlGa3Pd4 after structural relaxation (PBE).

Output
Formation energy from the elements in meV/atom: -802

a = 4.042 Å, b = 4.042 Å, c = 11.295 Å
α = 90.00°, β = 90.00°, γ = 90.00°
Space group P-4m2 (No. 115)
Inequivalent atoms, fractional coordinates:
Ho 0.000 0.500 0.250 [2 per cell]
Al 0.000 0.000 0.500 [1 per cell]
Ga 0.000 0.500 0.864 [2 per cell]
Ga 0.500 0.500 0.500 [1 per cell]
Pd 0.000 0.000 0.000 [1 per cell]
Pd 0.000 0.500 0.643 [2 per cell]
Pd 0.500 0.500 0.000 [1 per cell]



What is the formation energy from the elements in the seventh record? -783 meV/atom



Look up the formation energy from the elements of the sixth one. -639 meV/atom



Among the records above, which one has the lowest formation energy from the elements? Ho2AlGa3Pd4



Look up the formation energy from the elements of the fourth one. -766 meV/atom